(1)
{
  "formula": "Li3IrO4",
  "functional": "PBE",
  "state": "relaxed",
  "magmom_total_mub_per_cell": 2.0,
  "final_energy_ev_per_atom": -5.7831,
  "e_above_lowest_polymorph_ev_per_atom": 0.0000,
  "cell": [[4.8138, -1.5342, 0.0000], [4.8138, 1.5342, 0.0000], [-1.0297, 0.0000, 4.8923]],
  "species": ["Li", "Li", "Li", "Ir", "O", "O", "O", "O"],
  "frac_coords": [[0.0000, 0.0000, 0.0000], [0.2520, 0.2520, 0.7696], [0.7480, 0.7480, 0.2304], [0.5000, 0.5000, 0.5000], [0.1152, 0.1152, 0.3900], [0.3798, 0.3798, 0.1416], [0.6202, 0.6202, 0.8584], [0.8848, 0.8848, 0.6100]]
}

***

(2)
{
  "formula": "GaAsIrO",
  "functional": "PBE",
  "state": "relaxed",
  "magmom_total_mub_per_cell": 0.0,
  "final_energy_ev_per_atom": -5.7296,
  "e_above_lowest_polymorph_ev_per_atom": 0.2123,
  "cell": [[3.7017, 0.0000, 0.0000], [0.0000, 6.2430, 0.0000], [0.0000, 0.0000, 5.5198]],
  "species": ["Ga", "Ga", "As", "As", "Ir", "Ir", "O", "O"],
  "frac_coords": [[0.0000, 0.0971, 0.0000], [0.0000, 0.9029, 0.5000], [0.0000, 0.3193, 0.4318], [0.0000, 0.6807, 0.9318], [0.5000, 0.4952, 0.6774], [0.5000, 0.5048, 0.1774], [0.5000, 0.2423, 0.9315], [0.5000, 0.7577, 0.4315]]
}